Entry 1:
{
  "formula": "MnGaO2",
  "functional": "GGA-PBEsol",
  "state": "relaxed",
  "energy_ev_per_cell": -28.94,
  "dos_at_fermi_per_ev_cell": 0.67,
  "e_form_raw_ev_per_atom": -1.334,
  "spacegroup": "No. 166",
  "lattice": [[1.490, 0.860, 5.895], [-1.490, 0.860, 5.895], [0.000, -1.720, 5.895]],
  "species": ["Mn", "Ga", "O", "O"],
  "fractional_positions": [[0.000, 0.000, 0.000], [0.500, 0.500, 0.500], [0.109, 0.109, 0.109], [0.891, 0.891, 0.891]]
}

Entry 2:
{
  "formula": "Sr4Mn2Ga2O11",
  "functional": "GGA-PBEsol",
  "state": "relaxed",
  "energy_ev_per_cell": -134.57,
  "dos_at_fermi_per_ev_cell": 3.26,
  "e_form_raw_ev_per_atom": -2.277,
  "spacegroup": "No. 69",
  "lattice": [[0.000, 3.888, 7.492], [3.847, 0.000, 7.492], [3.847, 3.888, 0.000]],
  "species": ["Sr", "Sr", "Sr", "Sr", "Mn", "Mn", "Ga", "Ga", "O", "O", "O", "O", "O", "O", "O", "O", "O", "O", "O"],
  "fractional_positions": [[0.118, 0.626, 0.374], [0.374, 0.882, 0.118], [0.626, 0.118, 0.882], [0.882, 0.374, 0.626], [0.000, 0.500, 0.000], [0.500, 0.000, 0.500], [0.234, 0.766, 0.766], [0.766, 0.234, 0.234], [0.000, 0.000, 0.000], [0.000, 0.000, 0.500], [0.166, 0.583, 0.834], [0.231, 0.231, 0.769], [0.250, 0.250, 0.250], [0.417, 0.834, 0.583], [0.500, 0.500, 0.000], [0.583, 0.166, 0.417], [0.750, 0.750, 0.750], [0.769, 0.769, 0.231], [0.834, 0.417, 0.166]]
}